(1)
Hg2SbOs | GGA-PBE | relaxed

a = 3.1495 Å, b = 3.1495 Å, c = 9.3517 Å
α = 90.00°, β = 90.00°, γ = 90.00°
Last column: nearest neighbours and their distance in Å.
Space group P4mm (No. 99)
One atom of each set of equivalent atoms:
Hg (0.0000, 0.0000, 0.0000) x1  4 Hg 3.15
Hg (0.5000, 0.5000, 0.2961) x1  4 Os 2.94, 4 Hg 3.15
Sb (0.5000, 0.5000, 0.6702) x1  4 Os 2.73
Os (0.0000, 0.0000, 0.5008) x1  4 Sb 2.73, 4 Hg 2.94

Output
E_tot (eV/atom): -3.62
Crystal system: tetragonal
Mass density (Mg/m³): 12.77
D(E_F) (states/eV/cell): 2.17
Uncorrected formation energy (eV/atom): 0.37

(2)
Li2LaBe2 | GGA-PBE | relaxed

a = 3.9516 Å, b = 3.9516 Å, c = 12.1410 Å
α = 90.00°, β = 90.00°, γ = 90.00°
Last column: nearest neighbours and their distance in Å.
Space group I4/mmm (No. 139)
One atom of each set of equivalent atoms:
Li (0.0000, 0.5000, 0.2500) x4  4 Be 2.73, 4 Li 2.79
La (0.0000, 0.0000, 0.0000) x2  8 Be 3.02
Be (0.0000, 0.0000, 0.4056) x4  1 Be 2.29

Output
E_tot (eV/atom): -2.97
Crystal system: tetragonal
Mass density (Mg/m³): 2.99
D(E_F) (states/eV/cell): 6.60

(3)
InFeP2 | GGA-PBE | relaxed

a = 3.9435 Å, b = 3.9435 Å, c = 5.2623 Å
α = 90.00°, β = 90.00°, γ = 90.00°
Last column: nearest neighbours and their distance in Å.
Space group P-4m2 (No. 115)
One atom of each set of equivalent atoms:
In (0.0000, 0.0000, 0.0000) x1  4 P 2.61
Fe (0.5000, 0.5000, 0.5000) x1  4 P 2.17
P (0.0000, 0.5000, 0.6743) x2  2 Fe 2.17

Output
E_tot (eV/atom): -5.49
Crystal system: tetragonal
Mass density (Mg/m³): 4.72
D(E_F) (states/eV/cell): 2.89

(4)
InFe2PSe | GGA-PBE | relaxed

a = 4.9424 Å, b = 4.9424 Å, c = 5.1045 Å
α = 90.00°, β = 90.00°, γ = 90.00°
Last column: nearest neighbours and their distance in Å.
Space group P4/mmm (No. 123)
One atom of each set of equivalent atoms:
In (0.0000, 0.0000, 0.0000) x1  4 Fe 2.47, 2 Se 2.55
Fe (0.0000, 0.5000, 0.0000) x2  2 In 2.47
P (0.5000, 0.5000, 0.5000) x1  4 Se 3.49, 8 Fe 3.55
Se (0.0000, 0.0000, 0.5000) x1  2 In 2.55

Output
E_tot (eV/atom): -4.05
Crystal system: tetragonal
Mass density (Mg/m³): 4.48
D(E_F) (states/eV/cell): 8.27
Uncorrected formation energy (eV/atom): 1.66

(5)
NaEuMgBi | GGA-PBE | relaxed

a = 7.8711 Å, b = 7.8711 Å, c = 7.8711 Å
α = 90.00°, β = 90.00°, γ = 90.00°
Last column: nearest neighbours and their distance in Å.
Space group F-43m (No. 216)
One atom of each set of equivalent atoms:
Na (0.0000, 0.0000, 0.0000) x4  4 Bi 3.41, 4 Mg 3.41
Eu (0.0000, 0.0000, 0.5000) x4  4 Mg 3.41, 4 Bi 3.41
Mg (0.2500, 0.2500, 0.2500) x4  4 Na 3.41, 4 Eu 3.41
Bi (0.2500, 0.2500, 0.7500) x4  4 Eu 3.41, 4 Na 3.41

Output
E_tot (eV/atom): -4.62
Crystal system: cubic
Mass density (Mg/m³): 5.56

(6)
Nd2TmCd3 | GGA-PBE | relaxed

a = 5.3742 Å, b = 5.3742 Å, c = 13.2343 Å
α = 90.00°, β = 90.00°, γ = 120.00°
Last column: nearest neighbours and their distance in Å.
Space group P-3m1 (No. 164)
One atom of each set of equivalent atoms:
Nd (0.0000, 0.0000, 0.0000) x1  8 Cd 3.31-3.37
Nd (0.0000, 0.0000, 0.5000) x1  8 Cd 3.25-3.28
Nd (0.3333, 0.6667, 0.1713) x2  8 Cd 3.28-3.42
Tm (0.3333, 0.6667, 0.6669) x2  8 Cd 3.26-3.30
Cd (0.0000, 0.0000, 0.2547) x2  5 Nd 3.25-3.37, 3 Tm 3.27
Cd (0.3333, 0.6667, 0.4191) x2  4 Nd 3.28, 4 Tm 3.28-3.30
Cd (0.3333, 0.6667, 0.9131) x2  1 Tm 3.26, 7 Nd 3.30-3.42

Output
E_tot (eV/atom): -3.10
Crystal system: trigonal
Mass density (Mg/m³): 7.97
D(E_F) (states/eV/cell): 13.24

(7)
Zn2CoIr | GGA-PBE | relaxed

a = 3.6214 Å, b = 3.6214 Å, c = 17.8795 Å
α = 90.00°, β = 90.00°, γ = 90.00°
Last column: nearest neighbours and their distance in Å.
Space group I-42d (No. 122)
One atom of each set of equivalent atoms:
Zn (0.2487, 0.2500, 0.1250) x8  4 Zn 2.55-2.57, 2 Co 2.57, 2 Ir 2.58
Co (0.0000, 0.0000, 0.0000) x4  4 Ir 2.56, 4 Zn 2.57
Ir (0.0000, 0.0000, 0.5000) x4  4 Co 2.56, 4 Zn 2.58

Output
E_tot (eV/atom): -4.34
Crystal system: tetragonal
Mass density (Mg/m³): 10.82
D(E_F) (states/eV/cell): 17.74

(8)
Sr2LaCr | GGA-PBE | relaxed

a = 5.0382 Å, b = 5.0382 Å, c = 11.7428 Å
α = 90.00°, β = 90.00°, γ = 90.00°
Last column: nearest neighbours and their distance in Å.
Space group I4/mmm (No. 139)
One atom of each set of equivalent atoms:
Sr (0.0000, 0.5000, 0.2500) x4  4 Sr 3.56, 4 Cr 3.87, 4 La 3.87
La (0.0000, 0.0000, 0.0000) x2  4 Cr 3.56, 8 Sr 3.87
Cr (0.0000, 0.0000, 0.5000) x2  4 La 3.56, 8 Sr 3.87

Output
E_tot (eV/atom): -3.91
Crystal system: tetragonal
Mass density (Mg/m³): 4.08
D(E_F) (states/eV/cell): 11.60

(9)
Sm12YAl4N3 | GGA-PBE | relaxed

a = 10.0646 Å, b = 10.0646 Å, c = 10.0646 Å
α = 90.00°, β = 90.00°, γ = 90.00°
Last column: nearest neighbours and their distance in Å.
Space group Im-3m (No. 229)
One atom of each set of equivalent atoms:
Sm (0.0000, 0.0000, 0.2739) x12  1 N 2.28
Sm (0.0000, 0.2500, 0.5000) x12  2 N 2.52
Y (0.0000, 0.0000, 0.0000) x2  6 Sm 2.76
Al (0.2500, 0.2500, 0.2500) x8  12 Sm 3.56-3.57
N (0.0000, 0.0000, 0.5000) x6  6 Sm 2.28-2.52

Output
E_tot (eV/atom): -5.49
Crystal system: cubic
Mass density (Mg/m³): 6.66
D(E_F) (states/eV/cell): 26.84
Uncorrected formation energy (eV/atom): -0.33

(10)
Hf2TaVAs | GGA-PBE | relaxed

a = 5.1093 Å, b = 5.1093 Å, c = 4.8622 Å
α = 90.00°, β = 90.00°, γ = 90.00°
Last column: nearest neighbours and their distance in Å.
Space group P4/mmm (No. 123)
One atom of each set of equivalent atoms:
Hf (0.0000, 0.5000, 0.0000) x2  2 Ta 2.55
Ta (0.0000, 0.0000, 0.0000) x1  2 As 2.43, 4 Hf 2.55
V (0.5000, 0.5000, 0.5000) x1  8 Hf 3.53, 4 As 3.61
As (0.0000, 0.0000, 0.5000) x1  2 Ta 2.43

Output
E_tot (eV/atom): -7.96
Crystal system: tetragonal
Mass density (Mg/m³): 8.68
D(E_F) (states/eV/cell): 5.47

(11)
Pd2PtF | GGA-PBE | relaxed

a = 6.1729 Å, b = 6.1729 Å, c = 6.1729 Å
α = 90.00°, β = 90.00°, γ = 90.00°
Last column: nearest neighbours and their distance in Å.
Space group Fm-3m (No. 225)
One atom of each set of equivalent atoms:
Pd (0.2500, 0.2500, 0.2500) x8  4 F 2.67, 4 Pt 2.67
Pt (0.0000, 0.0000, 0.0000) x4  8 Pd 2.67
F (0.0000, 0.0000, 0.5000) x4  8 Pd 2.67

Output
E_tot (eV/atom): -4.56
Crystal system: cubic
Mass density (Mg/m³): 12.06
D(E_F) (states/eV/cell): 32.34
Uncorrected formation energy (eV/atom): 0.01

(12)
ZrSbOs | GGA-PBE | relaxed

a = 4.5620 Å, b = 4.5620 Å, c = 3.1874 Å
α = 90.00°, β = 90.00°, γ = 120.00°
Last column: nearest neighbours and their distance in Å.
Space group P-6m2 (No. 187)
One atom of each set of equivalent atoms:
Zr (0.0000, 0.0000, 0.0000) x1  6 Sb 3.08, 6 Os 3.08, 2 Zr 3.19
Sb (0.3333, 0.6667, 0.5000) x1  3 Os 2.63
Os (0.6667, 0.3333, 0.5000) x1  3 Sb 2.63

Output
E_tot (eV/atom): -8.23
Crystal system: hexagonal
Mass density (Mg/m³): 11.65
D(E_F) (states/eV/cell): 3.13
Uncorrected formation energy (eV/atom): -0.26

- Which of these has the highest mass density?
  Hg2SbOs